[1]
DFT (PBE-GGA) results for an optimized crystal structure of HoAlSi2Ni5.

```
HoAlSi2Ni5
1.0
4.048 0.000 0.000
0.000 4.048 0.000
0.000 0.000 7.692
Ho Al Si Ni
1 1 2 5
Direct
0.000 0.000 0.000 Ho
0.000 0.000 0.500 Al
0.500 0.500 0.353 Si
0.500 0.500 0.647 Si
0.000 0.500 0.237 Ni
0.000 0.500 0.763 Ni
0.500 0.000 0.237 Ni
0.500 0.000 0.763 Ni
0.500 0.500 0.000 Ni
```

## Properties
* density of states at the Fermi level: 3.10 states/eV/f.u.
* E: -5.650 eV per atom
* spin magnetization: 0.0000 μB/atom


[2]
DFT (PBE-GGA) results for an optimized crystal structure of Hg2H6PtRh.

```
Hg2H6PtRh
1.0
4.846 0.000 0.000
1.603 4.597 0.000
1.701 1.123 4.480
Hg H Pt Rh
2 6 1 1
Direct
0.249 0.252 0.257 Hg
0.751 0.748 0.743 Hg
0.250 0.750 0.748 H
0.254 0.250 0.759 H
0.254 0.741 0.252 H
0.746 0.259 0.748 H
0.746 0.750 0.241 H
0.750 0.250 0.252 H
0.000 0.000 0.000 Pt
0.500 0.500 0.500 Rh
```

## Properties
* density of states at the Fermi level: 1.47 states/eV/f.u.
* E: -3.202 eV per atom
* spin magnetization: 0.0000 μB/atom